[1]
# SnBr (GGA-PBE, relaxed)
data_SnBr
_symmetry_space_group_name_H-M 'A m m 2'
_symmetry_Int_Tables_number 38
_cell_length_a 3.6887
_cell_length_b 11.6372
_cell_length_c 9.4000
_cell_angle_alpha 90.00
_cell_angle_beta 90.00
_cell_angle_gamma 90.00
loop_
_symmetry_equiv_pos_as_xyz
'x,y,z'
'-x,-y,z'
'-x,y,z'
'x,-y,z'
'x,y+1/2,z+1/2'
'-x,-y+1/2,z+1/2'
'-x,y+1/2,z+1/2'
'x,-y+1/2,z+1/2'
loop_
_atom_site_label
_atom_site_type_symbol
_atom_site_fract_x
_atom_site_fract_y
_atom_site_fract_z
Sn1 Sn 0.0000 0.0000 0.0000
Sn2 Sn 0.0000 0.2457 0.5722
Br1 Br 0.5000 0.0000 0.7657
Br2 Br 0.5000 0.1774 0.3284
# Total magnetic moment = 0.00 μB/cell
# Formation energy (no corrections) = -0.341 eV per atom

---

[2]
# AlMo4 (GGA-PBE, relaxed)
data_AlMo4
_symmetry_space_group_name_H-M 'P m -3 m'
_symmetry_Int_Tables_number 221
_symmetry_space_group_name_Hall '-P 4 2 3'
_cell_length_a 4.4802
_cell_length_b 4.4802
_cell_length_c 4.4802
_cell_angle_alpha 90.00
_cell_angle_beta 90.00
_cell_angle_gamma 90.00
loop_
_atom_site_label
_atom_site_type_symbol
_atom_site_fract_x
_atom_site_fract_y
_atom_site_fract_z
Al1 Al 0.0000 0.0000 0.0000
Mo1 Mo 0.0000 0.0000 0.5000
Mo2 Mo 0.5000 0.5000 0.5000
# DFT formation energy = 1.575 eV per atom
# Total magnetic moment = 0.00 μB/cell

---

[3]
# DyTmPuSn (GGA-PBE, relaxed)
data_DyTmPuSn
_symmetry_space_group_name_H-M 'F -4 3 m'
_symmetry_Int_Tables_number 216
_symmetry_space_group_name_Hall 'F -4 2 3'
_cell_length_a 7.5989
_cell_length_b 7.5989
_cell_length_c 7.5989
_cell_angle_alpha 90.00
_cell_angle_beta 90.00
_cell_angle_gamma 90.00
loop_
_atom_site_label
_atom_site_type_symbol
_atom_site_fract_x
_atom_site_fract_y
_atom_site_fract_z
Dy1 Dy 0.0000 0.0000 0.0000
Tm1 Tm 0.2500 0.2500 0.2500
Pu1 Pu 0.0000 0.0000 0.5000
Sn1 Sn 0.2500 0.2500 0.7500
# DFT formation energy = -0.135 eV per atom
# Total magnetic moment = 27.41 μB/cell